Entry P
# CoGe2AsO

Crystalline CoGe2AsO at its relaxed geometry (PBE with a Hubbard U, Alexandria via LeMat-Bulk).

a b c (Å): 4.4434 4.3739 4.4434
angles (deg): 90.00 90.00 90.00
With the nearest neighbours (Å) after each atom.
Positions (direct):
Ge: 0.0000 0.0000 0.5000  2 Co 2.22
As: 0.0000 0.5000 0.0000  2 Co 2.19
Co: 0.0000 0.0000 0.0000  2 As 2.19, 4 Ge 2.22
O: 0.5000 0.5000 0.5000  8 Ge 3.12, 4 As 3.14
Ge: 0.5000 0.0000 0.0000  2 Co 2.22

crystal system	tetragonal

***

Entry Q
# CoGe2AsO

Crystalline CoGe2AsO at its relaxed geometry (PBE with a Hubbard U, Alexandria via LeMat-Bulk).

a b c (Å): 4.3811 4.3455 4.3811
angles (deg): 90.00 90.00 90.00
With the nearest neighbours (Å) after each atom.
Positions (direct):
As: 0.0000 0.5000 0.0000  2 O 2.17
Ge: 0.0000 0.0000 0.5000  2 O 2.19
Co: 0.5000 0.5000 0.5000  8 Ge 3.09, 4 As 3.10
Ge: 0.5000 0.0000 0.0000  2 O 2.19
O: 0.0000 0.0000 0.0000  2 As 2.17, 4 Ge 2.19

crystal system	tetragonal

***

Relative to the most stable structure, the computed energies are entry P 0.137; entry Q 0.000, all in eV/atom.